Record 1
Material: NaLi2CuF6
Method: DFT, PBE-GGA
State: optimized geometry

Cell lengths 5.2030, 5.2030, 14.3144 Å; angles 90.00, 90.00, 120.00 degrees
Space group R3 (No. 146, hexagonal axes)
Inequivalent atoms, fractional coordinates:
Na 0.0000 0.0000 0.0000 [3 per cell]
Li 0.0000 0.0000 0.2038 [3 per cell]
Li 0.0000 0.0000 0.7185 [3 per cell]
Cu 0.0000 0.0000 0.5155 [3 per cell]
F 0.0177 0.3439 0.1119 [9 per cell]
F 0.0651 0.7033 0.2669 [9 per cell]

Results
The crystal system is trigonal. For the volume, the calculation gives 336 Å³/cell. Its uncorrected formation energy is -23.1 eV per formula unit. The value obtained for the total energy is -4.356 eV/atom. The value obtained for the magnetic moment is 6.00 μB/cell.


Record 2
Material: Zn2In2Si
Method: DFT, PBE-GGA
State: optimized geometry

Cell lengths 8.2923, 8.2923, 3.0451 Å; angles 90.00, 90.00, 90.00 degrees
Space group P4/mbm (No. 127)
Inequivalent atoms, fractional coordinates:
Zn 0.1084 0.3916 0.0000 [4 per cell]
In 0.1928 0.6928 0.5000 [4 per cell]
Si 0.0000 0.0000 0.5000 [2 per cell]

Results
The crystal system is tetragonal. For the volume, the calculation gives 209 Å³/cell. Its uncorrected formation energy is 1.7 eV per formula unit. The density of states at the Fermi level is 0.452 states/eV per atom. The value obtained for the total energy is -2.348 eV/atom. The value obtained for the magnetic moment is 0.00 μB/cell.